Entry from Alexandria via LeMat-Bulk: an optimized crystal structure of GaIr2W (PBE).

```
GaIr2W
1.0
5.701 0.000 0.000
0.000 5.701 0.000
2.851 2.851 5.467
Ga W Ir
2 2 4
Cartesian
2.851 5.701 2.734
2.851 2.851 0.000
0.000 0.000 0.000
5.701 2.851 2.734
4.276 4.267 4.101
1.416 4.276 1.367
4.285 1.425 1.367
7.127 7.136 4.101
```

## Properties
Energy of formation from the pure elements = 13.68 kcal/mol of atoms

***

Entry from Alexandria via LeMat-Bulk: an optimized crystal structure of Y6Ga2Ir (PBE).

```
Y6Ga2Ir
1.0
-1.630 1.656 -5.591
-1.672 -7.971 -1.874
-9.251 1.354 2.496
Y Ir Ga
12 2 4
Cartesian
-5.244 -5.931 -6.179
-1.281 -2.342 -1.078
-4.822 -1.752 -0.162
-7.310 0.971 1.210
-7.733 -3.208 -4.808
-11.273 -2.619 -3.891
-4.229 -2.357 -3.651
-6.465 0.388 -2.338
-6.089 -5.349 -2.631
-8.325 -2.603 -1.318
-10.029 0.865 -1.448
-2.525 -5.826 -3.521
-4.626 0.677 1.248
-1.651 -3.158 -3.733
-3.461 -4.515 -0.982
-9.322 -5.011 -3.000
-9.093 -0.446 -3.987
-3.233 0.051 -1.969
```

## Properties
Energy of formation from the pure elements = -10.22 kcal/mol of atoms

***

Entry from Alexandria via LeMat-Bulk: an optimized crystal structure of YGa3Ir (PBE).

```
YGa3Ir
1.0
5.251 0.000 0.000
0.000 5.251 0.000
0.000 0.000 5.251
Ga Ir Y
3 1 1
Cartesian
2.626 0.000 0.000
0.000 2.626 0.000
0.000 0.000 2.626
2.626 2.626 2.626
0.000 0.000 0.000
```

## Properties
Energy of formation from the pure elements = 35.56 kcal/mol of atoms

***

Entry from Alexandria via LeMat-Bulk: an optimized crystal structure of YGa2Ir2 (PBE).

```
YGa2Ir2
1.0
-1.249 -3.751 -6.449
6.716 -3.412 0.684
-1.274 -2.201 1.527
Ir Ga Y
4 4 2
Cartesian
3.236 -5.409 -5.098
2.232 -1.754 -0.667
0.149 -2.889 -4.040
5.319 -4.274 -1.725
-0.043 -2.924 -1.370
4.237 -6.440 -2.868
0.636 -5.462 -4.462
3.558 -3.902 0.224
0.000 0.000 0.000
2.734 -3.581 -2.883
```

## Properties
Energy of formation from the pure elements = -11.88 kcal/mol of atoms

***

Entry from Alexandria via LeMat-Bulk: an optimized crystal structure of YGa3Ir3 (PBE).

```
YGa3Ir3
1.0
6.745 0.000 0.000
0.000 6.745 0.000
0.000 0.000 6.745
Ir Y Ga
6 2 6
Cartesian
0.000 3.373 1.686
3.373 1.686 0.000
3.373 5.059 0.000
5.059 0.000 3.373
1.686 0.000 3.373
0.000 3.373 5.059
0.000 0.000 0.000
3.373 3.373 3.373
0.000 1.686 3.373
1.686 3.373 0.000
3.373 0.000 5.059
3.373 0.000 1.686
0.000 5.059 3.373
5.059 3.373 0.000
```

## Properties
Energy of formation from the pure elements = 1.38 kcal/mol of atoms

***

Entry from Alexandria via LeMat-Bulk: an optimized crystal structure of YGa4Ir2 (PBE).

```
YGa4Ir2
1.0
-4.095 0.082 -1.305
0.836 -5.840 -2.988
-4.748 -8.046 14.397
Ga Ir Y
16 8 4
Cartesian
-3.440 -5.179 6.930
-0.902 -2.297 -0.852
-2.567 -6.247 -2.956
-4.567 -8.626 3.173
-2.670 -6.304 4.444
-5.440 -7.557 13.059
-5.337 -7.501 5.660
-4.057 -7.184 8.742
-3.950 -6.621 1.361
-6.769 -7.619 10.146
-1.741 -2.759 1.749
-6.266 -11.046 8.354
-4.303 -4.242 2.617
-1.238 -6.186 -0.043
-7.105 -11.507 10.955
-3.704 -9.563 7.486
-5.065 -5.073 4.956
-4.079 -1.733 2.071
-2.942 -8.732 5.148
-7.425 -9.189 12.106
-0.582 -4.615 -2.003
-6.055 -8.537 7.846
-3.928 -12.072 8.032
-1.952 -5.268 2.257
-4.690 -9.779 10.566
-3.317 -4.026 -0.463
-5.283 -10.901 5.276
-2.724 -2.903 4.827
```

## Properties
Energy of formation from the pure elements = -14.66 kcal/mol of atoms

***

Magnetization, respectively: 0.0, 0.0, 0.4, 0.0, 0.0, 0.0 μB/f.u..